Entry 1:
Material: AgRuAu
Method: DFT, GGA-PBE
State: relaxed

Computed properties:
- Energy of formation from the pure elements: 0.422 eV/atom
- Theoretical density: 13.314 g cm⁻³
- Fermi-level density of states: 2.44 states/eV per cell
- Energy above the most stable polymorph in this dataset: 59 meV/atom
- E: -4.713 eV per atom

Lattice parameters (Å, degrees): 7.752 7.512 2.790 84.36 74.66 20.98
Atoms (fractional coordinates):
Ag  0.998  0.998  0.002
Au  0.669  0.669  0.331
Ru  0.333  0.333  0.667



Entry 2:
Material: AgRuAu
Method: DFT, GGA-PBE
State: relaxed

Computed properties:
- Energy of formation from the pure elements: 0.409 eV/atom
- Theoretical density: 13.563 g cm⁻³
- Fermi-level density of states: 3.17 states/eV per cell
- Energy above the most stable polymorph in this dataset: 46 meV/atom
- E: -4.726 eV per atom

Lattice parameters (Å, degrees): 6.770 6.770 6.770 156.40 156.40 33.63
Atoms (fractional coordinates):
Ag  0.004  0.004  0.000
Au  0.329  0.329  0.000
Ru  0.668  0.668  0.000



Entry 3:
Material: Si2AgRuAu
Method: DFT, GGA-PBE
State: relaxed

Computed properties:
- Theoretical density: 6.952 g cm⁻³
- Fermi-level density of states: 5.87 states/eV per cell
- Raw formation energy: 6.72 eV/f.u.
- E: -3.905 eV per atom

Lattice parameters (Å, degrees): 4.665 5.072 4.665 90.00 90.00 90.00
Atoms (fractional coordinates):
Ru  0.500  0.500  0.500
Si  0.000  0.000  0.500
Si  0.500  0.000  0.000
Au  0.000  0.000  0.000
Ag  0.000  0.500  0.000



Entry 4:
Material: Ag2SnRuAu
Method: DFT, GGA-PBE
State: relaxed

Computed properties:
- Energy of formation from the pure elements: 1.188 eV/atom
- Theoretical density: 8.038 g cm⁻³
- Fermi-level density of states: 6.57 states/eV per cell
- E: -3.264 eV per atom

Lattice parameters (Å, degrees): 5.089 5.046 5.089 90.00 90.00 90.00
Atoms (fractional coordinates):
Ru  0.500  0.500  0.500
Au  0.000  0.000  0.000
Sn  0.000  0.500  0.000
Ag  0.000  0.000  0.500
Ag  0.500  0.000  0.000



Entry 5:
Material: Th2AgRuAu
Method: DFT, GGA-PBE
State: relaxed

Computed properties:
- Energy of formation from the pure elements: -0.379 eV/atom
- Theoretical density: 12.034 g cm⁻³
- Fermi-level density of states: 7.60 states/eV per cell
- E: -6.428 eV per atom

Lattice parameters (Å, degrees): 4.117 7.911 7.819 109.48 90.00 90.00
Atoms (fractional coordinates):
Th  0.750  0.870  0.636
Th  0.750  0.720  0.017
Th  0.250  0.130  0.364
Th  0.250  0.280  0.983
Ag  0.250  0.699  0.315
Ag  0.750  0.301  0.685
Ru  0.250  0.892  0.885
Ru  0.750  0.108  0.115
Au  0.250  0.541  0.652
Au  0.750  0.459  0.348



Entry 6:
Material: AgAu2S
Method: DFT, GGA-PBE
State: relaxed

Computed properties:
- Theoretical density: 11.579 g cm⁻³
- Fermi-level density of states: 2.98 states/eV per cell
- Raw formation energy: 0.93 eV/f.u.
- E: -3.150 eV per atom

Lattice parameters (Å, degrees): 3.962 3.962 10.150 78.75 78.75 90.00
Atoms (fractional coordinates):
S  0.500  0.500  0.000
S  0.250  0.750  0.500
Au  0.619  0.125  0.250
Au  0.131  0.625  0.250
Au  0.375  0.381  0.750
Au  0.875  0.869  0.750
Ag  0.000  0.000  0.000
Ag  0.750  0.250  0.500



Entry 7:
Material: Ag3AuS
Method: DFT, GGA-PBE
State: relaxed

Computed properties:
- Theoretical density: 8.175 g cm⁻³
- Fermi-level density of states: 0.00 states/eV per cell
- Energy above the most stable polymorph in this dataset: 0 meV/atom
- Raw formation energy: 1.50 eV/f.u.
- E: -2.891 eV per atom

Lattice parameters (Å, degrees): 4.824 4.824 4.824 90.00 90.00 90.00
Atoms (fractional coordinates):
S  0.000  0.000  0.000
Au  0.500  0.500  0.500
Ag  0.000  0.500  0.000
Ag  0.000  0.000  0.500
Ag  0.500  0.000  0.000



Entry 8:
Material: Ag12AuS6
Method: DFT, GGA-PBE
State: relaxed

Computed properties:
- Theoretical density: 6.968 g cm⁻³
- Fermi-level density of states: 3.47 states/eV per cell
- Raw formation energy: 1.26 eV/f.u.
- E: -3.210 eV per atom

Lattice parameters (Å, degrees): 8.602 8.602 8.602 55.33 124.67 124.67
Atoms (fractional coordinates):
Ag  0.429  0.847  0.420
Ag  0.153  0.420  0.571
Ag  0.580  0.571  0.847
Ag  0.571  0.153  0.580
Ag  0.847  0.580  0.429
Ag  0.420  0.429  0.153
Ag  0.785  0.928  0.354
Ag  0.354  0.785  0.072
Ag  0.928  0.646  0.785
Ag  0.215  0.072  0.646
Ag  0.646  0.215  0.928
Ag  0.072  0.354  0.215
Au  0.000  0.000  0.000
S  0.088  0.660  0.212
S  0.660  0.788  0.088
S  0.212  0.088  0.340
S  0.912  0.340  0.788
S  0.340  0.212  0.912
S  0.788  0.912  0.660



Entry 9:
Material: Ag12Au3S5
Method: DFT, GGA-PBE
State: relaxed

Computed properties:
- Theoretical density: 7.642 g cm⁻³
- Fermi-level density of states: 43.11 states/eV per cell
- Raw formation energy: 2.29 eV/f.u.
- E: -3.120 eV per atom

Lattice parameters (Å, degrees): 13.219 13.219 13.219 109.47 109.47 109.47
Atoms (fractional coordinates):
Au  0.750  0.375  0.125
Au  0.875  0.750  0.125
Au  0.375  0.750  0.625
Au  0.250  0.125  0.375
Au  0.875  0.125  0.250
Au  0.375  0.625  0.250
Au  0.625  0.375  0.750
Au  0.125  0.875  0.750
Au  0.750  0.875  0.625
Au  0.625  0.250  0.375
Au  0.125  0.250  0.875
Au  0.250  0.625  0.875
S  0.125  0.375  0.250
S  0.000  0.500  0.000
S  0.000  0.000  0.000
S  0.375  0.250  0.125
S  0.500  0.000  0.500
S  0.500  0.500  0.000
S  0.125  0.750  0.375
S  0.750  0.125  0.875
S  0.750  0.625  0.375
S  0.375  0.125  0.750
S  0.625  0.875  0.250
S  0.500  0.500  0.500
S  0.500  0.000  0.000
S  0.000  0.000  0.500
S  0.250  0.375  0.625
S  0.250  0.875  0.125
S  0.000  0.500  0.500
S  0.875  0.250  0.625
S  0.625  0.750  0.875
S  0.875  0.625  0.750
Ag  0.720  0.135  0.051
Ag  0.331  0.551  0.416
Ag  0.949  0.365  0.280
Ag  0.551  0.220  0.135
Ag  0.585  0.720  0.669
Ag  0.949  0.584  0.169
Ag  0.331  0.780  0.415
Ag  0.084  0.915  0.135
Ag  0.584  0.949  0.669
Ag  0.720  0.585  0.169
Ag  0.780  0.449  0.365
Ag  0.831  0.916  0.051
Ag  0.135  0.720  0.551
Ag  0.365  0.416  0.085
Ag  0.085  0.916  0.365
Ag  0.415  0.135  0.584
Ag  0.085  0.169  0.220
Ag  0.449  0.669  0.084
Ag  0.831  0.915  0.280
Ag  0.135  0.415  0.084
Ag  0.365  0.949  0.780
Ag  0.584  0.635  0.415
Ag  0.916  0.831  0.551
Ag  0.780  0.331  0.915
Ag  0.416  0.365  0.585
Ag  0.084  0.169  0.449
Ag  0.220  0.669  0.085
Ag  0.169  0.085  0.720
Ag  0.635  0.051  0.220
Ag  0.865  0.585  0.916
Ag  0.551  0.331  0.916
Ag  0.585  0.865  0.416
Ag  0.915  0.831  0.780
Ag  0.915  0.084  0.635
Ag  0.865  0.280  0.449
Ag  0.169  0.084  0.949
Ag  0.635  0.584  0.915
Ag  0.416  0.051  0.331
Ag  0.280  0.415  0.831
Ag  0.220  0.551  0.635
Ag  0.916  0.085  0.865
Ag  0.669  0.220  0.585
Ag  0.449  0.780  0.865
Ag  0.051  0.416  0.831
Ag  0.415  0.280  0.331
Ag  0.051  0.635  0.720
Ag  0.669  0.449  0.584
Ag  0.280  0.865  0.949



Entry 10:
Material: Ag2AuS6
Method: DFT, GGA-PBE
State: relaxed

Computed properties:
- Theoretical density: 4.585 g cm⁻³
- Fermi-level density of states: 1.81 states/eV per cell
- Raw formation energy: 1.07 eV/f.u.
- E: -3.631 eV per atom

Lattice parameters (Å, degrees): 4.377 6.664 9.397 107.45 107.92 109.74
Atoms (fractional coordinates):
Ag  0.447  0.761  0.093
Ag  0.553  0.239  0.907
Au  0.000  0.000  0.000
S  0.001  0.525  0.200
S  0.999  0.475  0.800
S  0.789  0.692  0.733
S  0.905  0.114  0.351
S  0.095  0.886  0.649
S  0.211  0.308  0.267



Entry 11:
Material: Ag5AuS4
Method: DFT, GGA-PBE
State: relaxed

Computed properties:
- Theoretical density: 6.927 g cm⁻³
- Fermi-level density of states: 2.50 states/eV per cell
- Raw formation energy: 1.10 eV/f.u.
- E: -3.294 eV per atom

Lattice parameters (Å, degrees): 4.000 6.684 8.206 102.72 104.11 90.00
Atoms (fractional coordinates):
Ag  0.200  0.390  0.401
Ag  0.189  0.832  0.377
Ag  0.811  0.168  0.623
Ag  0.500  0.500  0.000
Ag  0.800  0.610  0.599
Au  0.500  0.000  0.000
S  0.659  0.185  0.317
S  0.968  0.248  0.936
S  0.341  0.815  0.683
S  0.032  0.752  0.064



Entry 12:
Material: AgAuS4
Method: DFT, GGA-PBE
State: relaxed

Computed properties:
- Theoretical density: 4.791 g cm⁻³
- Raw formation energy: 0.65 eV/f.u.
- E: -3.665 eV per atom

Lattice parameters (Å, degrees): 11.505 11.505 6.278 103.45 85.19 156.75
Atoms (fractional coordinates):
Ag  0.755  0.505  0.250
Ag  0.245  0.495  0.750
Au  0.500  0.500  0.500
Au  0.500  0.000  0.000
S  0.048  0.645  0.760
S  0.161  0.783  0.500
S  0.839  0.217  0.500
S  0.615  0.712  0.260
S  0.385  0.288  0.740
S  0.784  0.661  0.000
S  0.216  0.339  0.000
S  0.952  0.355  0.240